[1]
DFT (GGA-PBE) results for a geometry-optimized Ba2ZrIr structure.

Properties
* energy above the most stable polymorph in this dataset: 830.3 meV per atom
* SG: No. 166
* calculated density: 6522 kg/m³
* density of states at the Fermi level: 5.285 states/eV per cell
* formation energy from the elements: 0.720 eV/atom

a = 10.6087 Å, b = 10.6087 Å, c = 10.6087 Å
α = 21.62°, β = 21.62°, γ = 21.62°
Last column: nearest neighbours and their distance in Å.
Atoms (fractional coordinates):
Ba1 0.2301 0.2301 0.2301  3 Ir 3.03
Ba2 0.7699 0.7699 0.7699  3 Ir 3.03
Zr1 0.0000 0.0000 0.0000  6 Ba 3.95, 6 Zr 3.98
Ir1 0.5000 0.5000 0.5000  6 Ba 3.03


[2]
DFT (GGA-PBE) results for a geometry-optimized Ba2ZrIr structure.

Properties
* energy above the most stable polymorph in this dataset: 657.9 meV per atom
* SG: No. 65
* calculated density: 7093 kg/m³
* density of states at the Fermi level: 3.869 states/eV per cell
* formation energy from the elements: 0.547 eV/atom

a = 3.5994 Å, b = 3.5994 Å, c = 10.0851 Å
α = 90.00°, β = 90.00°, γ = 90.08°
Last column: nearest neighbours and their distance in Å.
Atoms (fractional coordinates):
Ba1 0.0000 0.0000 0.1921  4 Ir 3.20
Ba2 0.0000 0.0000 0.8079  4 Ir 3.20
Zr1 0.5000 0.5000 0.5000  4 Zr 3.60, 8 Ba 4.01-4.02
Ir1 0.5000 0.5000 0.0000  8 Ba 3.20


[3]
DFT (GGA-PBE) results for a geometry-optimized Ba2ZrIr structure.

Properties
* energy above the most stable polymorph in this dataset: 136.2 meV per atom
* SG: No. 44
* calculated density: 6714 kg/m³
* density of states at the Fermi level: 4.428 states/eV per cell
* formation energy from the elements: 0.025 eV/atom

a = 6.9388 Å, b = 6.9388 Å, c = 6.9388 Å
α = 147.90°, β = 128.27°, γ = 62.20°
Last column: nearest neighbours and their distance in Å.
Atoms (fractional coordinates):
Ba1 0.0000 0.0000 0.0000  2 Ir 3.33
Ba2 0.6895 0.1895 0.5000  4 Ir 3.61, 2 Zr 3.70, 4 Ba 3.77-3.84
Zr1 0.3681 0.3681 0.0000  2 Ir 2.53
Ir1 0.2292 0.7292 0.5000  2 Zr 2.53


[4]
DFT (GGA-PBE) results for a geometry-optimized BaZrIr structure.

Properties
* energy above the most stable polymorph in this dataset: 308.4 meV per atom
* SG: No. 107
* calculated density: 8371 kg/m³
* density of states at the Fermi level: 2.866 states/eV per cell
* formation energy from the elements: -0.169 eV/atom

a = 7.0724 Å, b = 7.0724 Å, c = 7.0724 Å
α = 150.90°, β = 150.90°, γ = 41.62°
Last column: nearest neighbours and their distance in Å.
Atoms (fractional coordinates):
Ba1 0.0000 0.0000 0.0000  1 Zr 3.50, 4 Ir 3.53, 4 Ba 3.55
Zr1 0.2651 0.2651 0.0000  4 Ir 2.71
Ir1 0.6881 0.6881 0.0000  4 Zr 2.71


[5]
DFT (GGA-PBE) results for a geometry-optimized Ba2ZrIr structure.

Properties
* energy above the most stable polymorph in this dataset: 659.7 meV per atom
* SG: No. 139
* calculated density: 8375 kg/m³
* density of states at the Fermi level: 3.231 states/eV per cell
* formation energy from the elements: 0.549 eV/atom

a = 6.4955 Å, b = 6.4955 Å, c = 6.4955 Å
α = 140.35°, β = 140.35°, γ = 57.33°
Last column: nearest neighbours and their distance in Å.
Atoms (fractional coordinates):
Ba1 0.2500 0.7500 0.5000  4 Ba 3.12
Ba2 0.7500 0.2500 0.5000  4 Ba 3.12
Zr1 0.0000 0.0000 0.0000  4 Ir 3.12
Ir1 0.5000 0.5000 0.0000  4 Zr 3.12


[6]
DFT (GGA-PBE) results for a geometry-optimized BaZrIr structure.

Properties
* energy above the most stable polymorph in this dataset: 718.7 meV per atom
* SG: No. 216
* calculated density: 8345 kg/m³
* density of states at the Fermi level: 2.209 states/eV per cell
* formation energy from the elements: 0.241 eV/atom

a = 4.9105 Å, b = 4.9105 Å, c = 4.9105 Å
α = 60.00°, β = 60.00°, γ = 60.00°
Last column: nearest neighbours and their distance in Å.
Atoms (fractional coordinates):
Ba1 0.0000 0.0000 0.0000  4 Ir 3.01
Zr1 0.5000 0.5000 0.5000  4 Ir 3.01
Ir1 0.2500 0.2500 0.2500  4 Ba 3.01, 4 Zr 3.01


[7]
DFT (GGA-PBE) results for a geometry-optimized Ba2ZrIr structure.

Properties
* energy above the most stable polymorph in this dataset: 784.4 meV per atom
* SG: No. 47
* calculated density: 7871 kg/m³
* density of states at the Fermi level: 5.638 states/eV per cell
* formation energy from the elements: 0.674 eV/atom

a = 3.8069 Å, b = 4.8487 Å, c = 6.3783 Å
α = 90.00°, β = 90.00°, γ = 90.00°
Last column: nearest neighbours and their distance in Å.
Atoms (fractional coordinates):
Ba1 0.0000 0.0000 0.2398  2 Ba 3.06-3.32
Ba2 0.0000 0.0000 0.7602  2 Ba 3.06-3.32
Zr1 0.5000 0.5000 0.5000  2 Ir 3.19, 8 Ba 3.50
Ir1 0.5000 0.5000 0.0000  2 Zr 3.19, 8 Ba 3.44


[8]
DFT (GGA-PBE) results for a geometry-optimized BaZr2Ir structure.

Properties
* energy above the most stable polymorph in this dataset: 99.7 meV per atom
* SG: No. 25
* calculated density: 8128 kg/m³
* density of states at the Fermi level: 4.603 states/eV per cell
* formation energy from the elements: -0.065 eV/atom

a = 3.4100 Å, b = 3.4525 Å, c = 8.8846 Å
α = 90.00°, β = 90.00°, γ = 90.00°
Last column: nearest neighbours and their distance in Å.
Atoms (fractional coordinates):
Ba1 0.0000 0.0000 0.0000  4 Ir 3.40, 4 Ba 3.41-3.45, 1 Zr 3.67
Zr1 0.0000 0.0000 0.4136  4 Ir 2.75
Zr2 0.5000 0.5000 0.6404  8 Zr 3.15-3.45, 1 Ir 3.30
Ir1 0.5000 0.5000 0.2688  4 Zr 2.75


[9]
DFT (GGA-PBE) results for a geometry-optimized BaZr2Ir structure.

Properties
* energy above the most stable polymorph in this dataset: 430.7 meV per atom
* SG: No. 225
* calculated density: 9666 kg/m³
* density of states at the Fermi level: 5.506 states/eV per cell
* formation energy from the elements: 0.266 eV/atom

a = 4.9918 Å, b = 4.9918 Å, c = 4.9918 Å
α = 60.00°, β = 60.00°, γ = 60.00°
Last column: nearest neighbours and their distance in Å.
Atoms (fractional coordinates):
Ba1 0.0000 0.0000 0.0000  8 Zr 3.06
Zr1 0.2500 0.2500 0.2500  4 Ba 3.06, 4 Ir 3.06
Zr2 0.7500 0.7500 0.7500  4 Ba 3.06, 4 Ir 3.06
Ir1 0.5000 0.5000 0.5000  8 Zr 3.06


[10]
DFT (GGA-PBE) results for a geometry-optimized Ba2ZrIr structure.

Properties
* energy above the most stable polymorph in this dataset: 903.3 meV per atom
* SG: No. 225
* calculated density: 7712 kg/m³
* density of states at the Fermi level: 6.920 states/eV per cell
* formation energy from the elements: 0.793 eV/atom

a = 5.5391 Å, b = 5.5391 Å, c = 5.5391 Å
α = 60.00°, β = 60.00°, γ = 60.00°
Last column: nearest neighbours and their distance in Å.
Atoms (fractional coordinates):
Ba1 0.2500 0.2500 0.2500  4 Zr 3.39, 4 Ir 3.39
Ba2 0.7500 0.7500 0.7500  4 Zr 3.39, 4 Ir 3.39
Zr1 0.0000 0.0000 0.0000  8 Ba 3.39
Ir1 0.5000 0.5000 0.5000  8 Ba 3.39


[11]
DFT (GGA-PBE) results for a geometry-optimized BaZr2Ir structure.

Properties
* energy above the most stable polymorph in this dataset: 643.1 meV per atom
* SG: No. 139
* calculated density: 9010 kg/m³
* density of states at the Fermi level: 4.464 states/eV per cell
* formation energy from the elements: 0.479 eV/atom

a = 5.9408 Å, b = 5.9408 Å, c = 5.9408 Å
α = 137.57°, β = 137.57°, γ = 61.56°
Last column: nearest neighbours and their distance in Å.
Atoms (fractional coordinates):
Ba1 0.0000 0.0000 0.0000  4 Ir 3.04, 8 Zr 3.34
Zr1 0.2500 0.7500 0.5000  4 Zr 3.04, 4 Ir 3.34, 4 Ba 3.34
Zr2 0.7500 0.2500 0.5000  4 Zr 3.04, 4 Ir 3.34, 4 Ba 3.34
Ir1 0.5000 0.5000 0.0000  4 Ba 3.04, 8 Zr 3.34


[12]
DFT (GGA-PBE) results for a geometry-optimized BaZr2Ir structure.

Properties
* energy above the most stable polymorph in this dataset: 112.9 meV per atom
* SG: No. 123
* calculated density: 8124 kg/m³
* density of states at the Fermi level: 5.975 states/eV per cell
* formation energy from the elements: -0.051 eV/atom

a = 3.4401 Å, b = 3.4401 Å, c = 8.8428 Å
α = 90.00°, β = 90.00°, γ = 90.00°
Last column: nearest neighbours and their distance in Å.
Atoms (fractional coordinates):
Ba1 0.0000 0.0000 0.0000  4 Ba 3.44, 8 Zr 3.83
Zr1 0.5000 0.5000 0.3342  4 Ir 2.84, 1 Zr 2.93
Zr2 0.5000 0.5000 0.6658  4 Ir 2.84, 1 Zr 2.93
Ir1 0.0000 0.0000 0.5000  8 Zr 2.84


[13]
DFT (GGA-PBE) results for a geometry-optimized BaZr2Ir structure.

Properties
* energy above the most stable polymorph in this dataset: 641.6 meV per atom
* SG: No. 12
* calculated density: 9356 kg/m³
* density of states at the Fermi level: 5.550 states/eV per cell
* formation energy from the elements: 0.477 eV/atom

a = 5.7936 Å, b = 5.7936 Å, c = 3.2179 Å
α = 100.57°, β = 100.57°, γ = 116.22°
Last column: nearest neighbours and their distance in Å.
Atoms (fractional coordinates):
Ba1 0.0000 0.0000 0.0000  4 Zr 3.04, 2 Ir 3.06, 2 Ba 3.22
Zr1 0.0000 0.5000 0.5000  2 Ba 3.04, 2 Ir 3.04, 4 Zr 3.06-3.22
Zr2 0.5000 0.0000 0.5000  2 Ba 3.04, 2 Ir 3.04, 4 Zr 3.06-3.22
Ir1 0.5000 0.5000 0.0000  4 Zr 3.04, 2 Ba 3.06, 2 Ir 3.22


[14]
DFT (GGA-PBE) results for a geometry-optimized BaZr2Ir structure.

Properties
* energy above the most stable polymorph in this dataset: 707.7 meV per atom
* SG: No. 141
* calculated density: 6189 kg/m³
* density of states at the Fermi level: 11.826 states/eV per cell
* formation energy from the elements: 0.543 eV/atom

a = 9.8513 Å, b = 9.8513 Å, c = 9.8513 Å
α = 147.52°, β = 147.52°, γ = 46.60°
Last column: nearest neighbours and their distance in Å.
Atoms (fractional coordinates):
Ba1 0.3750 0.6250 0.7500  8 Zr 3.82, 4 Ir 3.90
Ba2 0.6250 0.3750 0.2500  8 Zr 3.82, 4 Ir 3.90
Zr1 0.0000 0.0000 0.0000  2 Ir 2.65, 2 Zr 2.76
Zr2 0.0000 0.0000 0.5000  2 Ir 2.65, 2 Zr 2.76
Zr3 0.0000 0.5000 0.0000  2 Ir 2.65, 2 Zr 2.76
Zr4 0.5000 0.0000 0.5000  2 Ir 2.65, 2 Zr 2.76
Ir1 0.1250 0.8750 0.2500  4 Zr 2.65
Ir2 0.8750 0.1250 0.7500  4 Zr 2.65


[15]
DFT (GGA-PBE) results for a geometry-optimized Ba2ZrIr2 structure.

Properties
* SG: No. 127
* calculated density: 9194 kg/m³
* density of states at the Fermi level: 9.452 states/eV per cell
* formation energy from the elements: -0.056 eV/atom

a = 7.1122 Å, b = 7.1122 Å, c = 5.3579 Å
α = 90.00°, β = 90.00°, γ = 90.00°
Last column: nearest neighbours and their distance in Å.
Atoms (fractional coordinates):
Ba1 0.1756 0.3244 0.0000  6 Ir 3.34-3.45, 5 Ba 3.53-3.71
Ba2 0.3244 0.8244 0.0000  6 Ir 3.34-3.45, 5 Ba 3.53-3.71
Ba3 0.6756 0.1756 0.0000  6 Ir 3.34-3.45, 5 Ba 3.53-3.71
Ba4 0.8244 0.6756 0.0000  6 Ir 3.34-3.45, 5 Ba 3.53-3.71
Zr1 0.0000 0.0000 0.5000  4 Ir 2.80
Zr2 0.5000 0.5000 0.5000  4 Ir 2.80
Ir1 0.1267 0.6267 0.5000  1 Ir 2.55, 2 Zr 2.80
Ir2 0.3733 0.1267 0.5000  1 Ir 2.55, 2 Zr 2.80
Ir3 0.6267 0.8733 0.5000  1 Ir 2.55, 2 Zr 2.80
Ir4 0.8733 0.3733 0.5000  1 Ir 2.55, 2 Zr 2.80